Entry 1:
{"formula": "TeW2", "functional": "GGA-PBE", "state": "relaxed", "e_above_lowest_polymorph_mev_per_atom": 503, "raw_formation_energy_ev_per_atom": 0.70, "spacegroup": "I4/mmm (139)", "cell": [[-3.1874, 4.2831, -2.3987], [-4.2330, 0.2304, -4.0356], [2.1622, -2.5074, 4.8265]], "species": ["Te", "W", "W"], "fractional_positions": [[0.5000, 0.5000, 0.0000], [0.8233, 0.8233, 0.0000], [0.1767, 0.1767, 0.0000]]}

---

Entry 2:
{"formula": "TeW", "functional": "GGA-PBE", "state": "relaxed", "e_above_lowest_polymorph_mev_per_atom": 305, "raw_formation_energy_ev_per_atom": 0.53, "spacegroup": "Imma (74)", "cell": [[-5.7407, -4.2074, -5.9091], [-2.3892, -7.3351, -5.1053], [2.8476, 4.9196, 7.2983]], "species": ["Te", "Te", "W", "W"], "fractional_positions": [[0.6467, 0.3967, 0.7500], [0.3533, 0.6033, 0.2500], [0.9433, 0.1933, 0.2500], [0.0567, 0.8067, 0.7500]]}

---

Entry 3:
{"formula": "TeW", "functional": "GGA-PBE", "state": "relaxed", "e_above_lowest_polymorph_mev_per_atom": 656, "raw_formation_energy_ev_per_atom": 0.88, "spacegroup": "P4_2/mnm (136)", "cell": [[6.6455, 0.0000, 0.0000], [0.0000, 6.6455, 0.0000], [0.0000, 0.0000, 5.1555]], "species": ["W", "W", "W", "W", "Te", "Te", "Te", "Te"], "fractional_positions": [[0.3821, 0.3821, 0.0000], [0.8821, 0.1179, 0.5000], [0.6179, 0.6179, 0.0000], [0.1179, 0.8821, 0.5000], [0.2186, 0.7814, 0.0000], [0.7186, 0.7186, 0.5000], [0.7814, 0.2186, 0.0000], [0.2814, 0.2814, 0.5000]]}

---

Entry 4:
{"formula": "TeW2", "functional": "GGA-PBE", "state": "relaxed", "e_above_lowest_polymorph_mev_per_atom": 631, "raw_formation_energy_ev_per_atom": 0.82, "spacegroup": "Cmcm (63)", "cell": [[1.5967, -7.2975, 0.0000], [1.5967, 7.2975, 0.0000], [0.0000, 0.0000, 4.6582]], "species": ["Te", "Te", "W", "W", "W", "W"], "fractional_positions": [[0.6156, 0.3844, 0.7500], [0.3844, 0.6156, 0.2500], [0.9532, 0.0468, 0.7500], [0.0468, 0.9532, 0.2500], [0.2876, 0.7124, 0.7500], [0.7124, 0.2876, 0.2500]]}

---

Entry 5:
{"formula": "Te4W3", "functional": "GGA-PBE", "state": "relaxed", "e_above_lowest_polymorph_mev_per_atom": 665, "raw_formation_energy_ev_per_atom": 0.96, "spacegroup": "P6/mmm (191)", "cell": [[-3.8935, -1.2168, 3.5479], [0.6065, -2.9745, -4.4735], [3.8862, -3.7086, 2.9928]], "species": ["Te", "Te", "Te", "Te", "W", "W", "W"], "fractional_positions": [[0.0000, 0.0000, 0.2403], [0.3333, 0.6667, 0.5000], [0.0000, 0.0000, 0.7597], [0.6667, 0.3333, 0.5000], [0.5000, 0.5000, 0.0000], [0.5000, 0.0000, 0.0000], [0.0000, 0.5000, 0.0000]]}

---

Entry 6:
{"formula": "TeW", "functional": "GGA-PBE", "state": "relaxed", "e_above_lowest_polymorph_mev_per_atom": 1204, "raw_formation_energy_ev_per_atom": 1.43, "spacegroup": "Fm-3m (225)", "cell": [[-0.5064, -0.3310, -5.6449], [-3.7575, -4.2155, 0.5843], [-4.2256, 3.7882, 0.1570]], "species": ["Te", "Te", "Te", "Te", "W", "W", "W", "W"], "fractional_positions": [[0.5000, 0.5000, 0.0000], [0.5000, 0.0000, 0.5000], [0.0000, 0.0000, 0.0000], [0.0000, 0.5000, 0.5000], [0.5000, 0.5000, 0.5000], [0.0000, 0.5000, 0.0000], [0.0000, 0.0000, 0.5000], [0.5000, 0.0000, 0.0000]]}

---

Entry 7:
{"formula": "TeW5", "functional": "GGA-PBE", "state": "relaxed", "e_above_lowest_polymorph_mev_per_atom": 205, "raw_formation_energy_ev_per_atom": 0.63, "spacegroup": "P-62m (189)", "cell": [[-1.9734, -0.9143, -4.4572], [-2.2545, -1.6532, 4.0965], [-2.4989, 4.0770, 0.2701]], "species": ["W", "W", "W", "W", "W", "Te"], "fractional_positions": [[0.6542, 0.0000, 0.0000], [0.0000, 0.6542, 0.0000], [0.3458, 0.3458, 0.0000], [0.3333, 0.6667, 0.5000], [0.6667, 0.3333, 0.5000], [0.0000, 0.0000, 0.5000]]}

---

Entry 8:
{"formula": "TeW", "functional": "GGA-PBE", "state": "relaxed", "e_above_lowest_polymorph_mev_per_atom": 445, "raw_formation_energy_ev_per_atom": 0.67, "spacegroup": "Fddd (70)", "cell": [[8.4703, 0.0000, 0.0000], [0.0000, 11.2701, 0.0000], [0.0000, 0.0000, 8.7089]], "species": ["Te", "Te", "Te", "Te", "Te", "Te", "Te", "Te", "Te", "Te", "Te", "Te", "Te", "Te", "Te", "Te", "W", "W", "W", "W", "W", "W", "W", "W", "W", "W", "W", "W", "W", "W", "W", "W"], "fractional_positions": [[0.2925, 0.0000, 0.5000], [0.2075, 0.0000, 0.0000], [0.5425, 0.7500, 0.7500], [0.4575, 0.7500, 0.2500], [0.0425, 0.7500, 0.2500], [0.7075, 0.0000, 0.5000], [0.2075, 0.5000, 0.5000], [0.7925, 0.0000, 0.0000], [0.0425, 0.2500, 0.7500], [0.2925, 0.5000, 0.0000], [0.9575, 0.7500, 0.7500], [0.7075, 0.5000, 0.0000], [0.9575, 0.2500, 0.2500], [0.5425, 0.2500, 0.2500], [0.7925, 0.5000, 0.5000], [0.4575, 0.2500, 0.7500], [0.7500, 0.6420, 0.2500], [0.0000, 0.6080, 0.0000], [0.2500, 0.3580, 0.2500], [0.2500, 0.6420, 0.7500], [0.2500, 0.1420, 0.2500], [0.5000, 0.8920, 0.0000], [0.5000, 0.1080, 0.0000], [0.7500, 0.3580, 0.7500], [0.0000, 0.3920, 0.0000], [0.5000, 0.6080, 0.5000], [0.0000, 0.8920, 0.5000], [0.5000, 0.3920, 0.5000], [0.2500, 0.8580, 0.7500], [0.0000, 0.1080, 0.5000], [0.7500, 0.1420, 0.7500], [0.7500, 0.8580, 0.2500]]}

---

Entry 9:
{"formula": "TeW5", "functional": "GGA-PBE", "state": "relaxed", "e_above_lowest_polymorph_mev_per_atom": 14, "raw_formation_energy_ev_per_atom": 0.44, "spacegroup": "Cmmm (65)", "cell": [[1.6234, -6.9287, 0.0000], [1.6234, 6.9287, 0.0000], [0.0000, 0.0000, 4.5010]], "species": ["W", "W", "W", "W", "W", "Te"], "fractional_positions": [[0.0000, 0.0000, 0.5000], [0.1720, 0.8280, 0.0000], [0.8280, 0.1720, 0.0000], [0.3303, 0.6697, 0.5000], [0.6697, 0.3303, 0.5000], [0.5000, 0.5000, 0.0000]]}

---

Entry 10:
{"formula": "TeW", "functional": "GGA-PBE", "state": "relaxed", "e_above_lowest_polymorph_mev_per_atom": 320, "raw_formation_energy_ev_per_atom": 0.55, "spacegroup": "P2_12_12_1 (19)", "cell": [[8.1942, 0.0000, 0.0000], [0.0000, 5.1856, 0.0000], [0.0000, 0.0000, 10.0092]], "species": ["Te", "Te", "Te", "Te", "Te", "Te", "Te", "Te", "W", "W", "W", "W", "W", "W", "W", "W"], "fractional_positions": [[0.3319, 0.0533, 0.1296], [0.8319, 0.4467, 0.8704], [0.1681, 0.9467, 0.6296], [0.2658, 0.5193, 0.8874], [0.7342, 0.0193, 0.6126], [0.7658, 0.9807, 0.1126], [0.6681, 0.5533, 0.3704], [0.2342, 0.4807, 0.3874], [0.0402, 0.2936, 0.0829], [0.5402, 0.2064, 0.9171], [0.4598, 0.7064, 0.5829], [0.4413, 0.2337, 0.6837], [0.9598, 0.7936, 0.4171], [0.5587, 0.7337, 0.8163], [0.0587, 0.7663, 0.1837], [0.9413, 0.2663, 0.3163]]}

---

Entry 11:
{"formula": "TeW3", "functional": "GGA-PBE", "state": "relaxed", "e_above_lowest_polymorph_mev_per_atom": 318, "raw_formation_energy_ev_per_atom": 0.86, "spacegroup": "R-3m (166)", "cell": [[-1.5921, 2.8782, -4.2659], [-3.7293, -1.0898, 3.7312], [5.0285, 0.8180, 1.7497]], "species": ["W", "W", "W", "Te"], "fractional_positions": [[0.5000, 0.5000, 0.0000], [0.0000, 0.5000, 0.5000], [0.5000, 0.0000, 0.5000], [0.0000, 0.0000, 0.0000]]}

---

Entry 12:
{"formula": "TeW2", "functional": "GGA-PBE", "state": "relaxed", "e_above_lowest_polymorph_mev_per_atom": 330, "raw_formation_energy_ev_per_atom": 0.52, "spacegroup": "C2/m (12)", "cell": [[1.6280, 5.5903, 0.0024], [-1.6280, 5.5903, 0.0024], [0.0000, 1.2916, 6.0383]], "species": ["W", "W", "W", "W", "Te", "Te"], "fractional_positions": [[0.6848, 0.6848, 0.3689], [0.9707, 0.9707, 0.3150], [0.3152, 0.3152, 0.6311], [0.0293, 0.0293, 0.6850], [0.6456, 0.6456, 0.9286], [0.3544, 0.3544, 0.0714]]}

---

| no. | final energy (Ry/atom) | D(E_F) (states/eV/f.u.) |
| --- | --- | --- |
| 1 | -0.6604 | 2.64 |
| 2 | -0.5525 | 0.88 |
| 3 | -0.5267 | 1.06 |
| 4 | -0.6510 | 1.51 |
| 5 | -0.4691 | 6.38 |
| 6 | -0.4864 | 2.76 |
| 7 | -0.7856 | 5.54 |
| 8 | -0.5422 | 1.37 |
| 9 | -0.7997 | 5.06 |
| 10 | -0.5514 | 0.64 |
| 11 | -0.7086 | 4.43 |
| 12 | -0.6732 | 1.80 |